Arrangement one

The following is a PBE calculation of a relaxed structure of La3Tb7Sm, from Alexandria.

Properties
Magnetic moment in μB/cell: 0.0
DOS(E_F) in states/eV/f.u.: 18.0

CIF file:
```
data_La3Tb7Sm
_cell_length_a 7.1409
_cell_length_b 7.1409
_cell_length_c 8.8285
_cell_angle_alpha 90.00
_cell_angle_beta 90.00
_cell_angle_gamma 120.00
_symmetry_space_group_name_H-M 'P 3 m 1'
_symmetry_Int_Tables_number 156
_symmetry_space_group_name_Hall 'P 3 -2"'
loop_
_atom_site_label
_atom_site_fract_x
_atom_site_fract_y
_atom_site_fract_z
_atom_site_occupancy
La1 0.9996 0.4998 0.0000 1
Tb1 0.1672 0.3344 0.3385 1
Tb2 0.3348 0.1674 0.6598 1
Tb3 0.6667 0.3333 0.3407 1
Sm1 0.3333 0.6667 0.6589 1
```


Arrangement two

The following is a PBE calculation of a relaxed structure of La3Tb7Sm, from Alexandria.

Properties
Magnetic moment in μB/cell: 0.0
DOS(E_F) in states/eV/f.u.: 16.6

CIF file:
```
data_La3Tb7Sm
_cell_length_a 6.4437
_cell_length_b 7.7622
_cell_length_c 7.7734
_cell_angle_alpha 81.67
_cell_angle_beta 86.58
_cell_angle_gamma 86.63
_symmetry_space_group_name_H-M 'P -1'
_symmetry_Int_Tables_number 2
_symmetry_space_group_name_Hall '-P 1'
loop_
_atom_site_label
_atom_site_fract_x
_atom_site_fract_y
_atom_site_fract_z
_atom_site_occupancy
La1 0.0000 0.0000 0.0000 1
La2 0.5003 0.1786 0.8215 1
Tb1 0.2373 0.5714 0.9109 1
Tb2 0.2375 0.9113 0.5714 1
Tb3 0.2910 0.2393 0.2391 1
Tb4 0.5000 0.5000 0.5000 1
Sm1 0.0000 0.5000 0.5000 1
```


Which structure is the least stable? The one labeled arrangement two.


Arrangement one

The following is a PBE calculation of a relaxed structure of LaTb2Sm8, from Alexandria.

Properties
Magnetic moment in μB/cell: 0.0
DOS(E_F) in states/eV/f.u.: 16.2

CIF file:
```
data_LaTb2Sm8
_cell_length_a 5.6508
_cell_length_b 8.3137
_cell_length_c 16.0404
_cell_angle_alpha 90.00
_cell_angle_beta 90.00
_cell_angle_gamma 90.00
_symmetry_space_group_name_H-M 'I m m m'
_symmetry_Int_Tables_number 71
_symmetry_space_group_name_Hall '-I 2 2'
loop_
_atom_site_label
_atom_site_fract_x
_atom_site_fract_y
_atom_site_fract_z
_atom_site_occupancy
La1 0.0000 0.0000 0.0000 1
Tb1 0.0000 0.0000 0.3004 1
Sm1 0.0000 0.2048 0.5000 1
Sm2 0.0000 0.2958 0.1395 1
Sm3 0.0000 0.5000 0.3370 1
```


Arrangement two

The following is a PBE calculation of a relaxed structure of LaTb2Sm8, from Alexandria.

Properties
Magnetic moment in μB/cell: 0.0
DOS(E_F) in states/eV/f.u.: 17.3

CIF file:
```
data_LaTb2Sm8
_cell_length_a 19.4523
_cell_length_b 7.0777
_cell_length_c 5.6481
_cell_angle_alpha 90.00
_cell_angle_beta 93.36
_cell_angle_gamma 90.00
_symmetry_space_group_name_H-M 'C 1 2/m 1'
_symmetry_Int_Tables_number 12
_symmetry_space_group_name_Hall '-C 2y'
loop_
_atom_site_label
_atom_site_fract_x
_atom_site_fract_y
_atom_site_fract_z
_atom_site_occupancy
La1 0.0000 0.0000 0.0000 1
Tb1 0.2153 0.5000 0.2536 1
Sm1 0.0450 0.5000 0.2391 1
Sm2 0.1335 0.2680 0.7314 1
Sm3 0.1887 0.0000 0.2319 1
```


Which structure is the least stable? The one labeled arrangement two.


Arrangement one

The following is a PBE calculation of a relaxed structure of LaTb3Sm3, from Alexandria.

Properties
Magnetic moment in μB/cell: 0.0
DOS(E_F) in states/eV/f.u.: 11.6

CIF file:
```
data_LaTb3Sm3
_cell_length_a 10.0568
_cell_length_b 10.0568
_cell_length_c 8.1337
_cell_angle_alpha 90.00
_cell_angle_beta 90.00
_cell_angle_gamma 120.00
_symmetry_space_group_name_H-M 'R 3 m'
_symmetry_Int_Tables_number 160
_symmetry_space_group_name_Hall 'R 3 -2"'
loop_
_atom_site_label
_atom_site_fract_x
_atom_site_fract_y
_atom_site_fract_z
_atom_site_occupancy
La1 0.0000 0.0000 0.0000 1
Tb1 0.0656 0.5328 0.3893 1
Sm1 0.0918 0.5459 0.9585 1
```


Arrangement two

The following is a PBE calculation of a relaxed structure of LaTb3Sm3, from Alexandria.

Properties
Magnetic moment in μB/cell: 0.0
DOS(E_F) in states/eV/f.u.: 9.7

CIF file:
```
data_LaTb3Sm3
_cell_length_a 12.5626
_cell_length_b 12.5626
_cell_length_c 3.7271
_cell_angle_alpha 90.00
_cell_angle_beta 90.00
_cell_angle_gamma 120.00
_symmetry_space_group_name_H-M 'P 63/m'
_symmetry_Int_Tables_number 176
_symmetry_space_group_name_Hall '-P 6c'
loop_
_atom_site_label
_atom_site_fract_x
_atom_site_fract_y
_atom_site_fract_z
_atom_site_occupancy
La1 0.3333 0.6667 0.2500 1
Tb1 0.0845 0.3102 0.7500 1
Sm1 0.0997 0.6116 0.7500 1
```


Which structure is the least stable? The one labeled arrangement two.


Arrangement one

The following is a PBE calculation of a relaxed structure of LaTb2Sm3, from Alexandria.

Properties
Magnetic moment in μB/cell: 0.0
DOS(E_F) in states/eV/f.u.: 11.0

CIF file:
```
data_LaTb2Sm3
_cell_length_a 3.4895
_cell_length_b 5.9852
_cell_length_c 19.8111
_cell_angle_alpha 90.00
_cell_angle_beta 90.00
_cell_angle_gamma 90.00
_symmetry_space_group_name_H-M 'I m m m'
_symmetry_Int_Tables_number 71
_symmetry_space_group_name_Hall '-I 2 2'
loop_
_atom_site_label
_atom_site_fract_x
_atom_site_fract_y
_atom_site_fract_z
_atom_site_occupancy
La1 0.0000 0.0000 0.0000 1
Tb1 0.0000 0.0000 0.3616 1
Sm1 0.0000 0.0000 0.1928 1
Sm2 0.0000 0.5000 0.0000 1
```


Arrangement two

The following is a PBE calculation of a relaxed structure of LaTb2Sm3, from Alexandria.

Properties
Magnetic moment in μB/cell: 0.0
DOS(E_F) in states/eV/f.u.: 8.4

CIF file:
```
data_LaTb2Sm3
_cell_length_a 7.2475
_cell_length_b 10.2546
_cell_length_c 21.7811
_cell_angle_alpha 90.00
_cell_angle_beta 90.00
_cell_angle_gamma 90.00
_symmetry_space_group_name_H-M 'F d d d'
_symmetry_Int_Tables_number 70
loop_
_symmetry_equiv_pos_as_xyz
'x,y,z'
'-x,-y,-z'
'-x+1/4,-y+1/4,z'
'x+1/4,y+1/4,-z'
'x,-y+1/4,-z+1/4'
'-x,y+1/4,z+1/4'
'-x+1/4,y,-z+1/4'
'x+1/4,-y,z+1/4'
'x,y+1/2,z+1/2'
'-x,-y+1/2,-z+1/2'
'-x+1/4,-y+3/4,z+1/2'
'x+1/4,y+3/4,-z+1/2'
'x,-y+3/4,-z+3/4'
'-x,y+3/4,z+3/4'
'-x+1/4,y+1/2,-z+3/4'
'x+1/4,-y+1/2,z+3/4'
'x+1/2,y,z+1/2'
'-x+1/2,-y,-z+1/2'
'-x+3/4,-y+1/4,z+1/2'
'x+3/4,y+1/4,-z+1/2'
'x+1/2,-y+1/4,-z+3/4'
'-x+1/2,y+1/4,z+3/4'
'-x+3/4,y,-z+3/4'
'x+3/4,-y,z+3/4'
'x+1/2,y+1/2,z'
'-x+1/2,-y+1/2,-z'
'-x+3/4,-y+3/4,z'
'x+3/4,y+3/4,-z'
'x+1/2,-y+3/4,-z+1/4'
'-x+1/2,y+3/4,z+1/4'
'-x+3/4,y+1/2,-z+1/4'
'x+3/4,-y+1/2,z+1/4'
loop_
_atom_site_label
_atom_site_fract_x
_atom_site_fract_y
_atom_site_fract_z
_atom_site_occupancy
La1 0.1250 0.1250 0.1250 1
Tb1 0.1250 0.1250 0.4588 1
Sm1 0.1250 0.1250 0.2915 1
Sm2 0.1250 0.1250 0.6250 1
```


Which structure is the least stable? The one labeled arrangement one.


Arrangement one

The following is a PBE calculation of a relaxed structure of LaTb3Sm7, from Alexandria.

Properties
Magnetic moment in μB/cell: 0.0
DOS(E_F) in states/eV/f.u.: 14.9

CIF file:
```
data_LaTb3Sm7
_cell_length_a 7.0678
_cell_length_b 5.6633
_cell_length_c 10.0273
_cell_angle_alpha 90.00
_cell_angle_beta 109.53
_cell_angle_gamma 90.00
_symmetry_space_group_name_H-M 'P 1 2/m 1'
_symmetry_Int_Tables_number 10
_symmetry_space_group_name_Hall '-P 2y'
loop_
_atom_site_label
_atom_site_fract_x
_atom_site_fract_y
_atom_site_fract_z
_atom_site_occupancy
La1 0.0000 0.0000 0.0000 1
Tb1 0.2770 0.5000 0.4975 1
Tb2 0.5000 0.0000 0.0000 1
Sm1 0.0000 0.0000 0.5000 1
Sm2 0.1446 0.5000 0.7899 1
Sm3 0.3286 0.5000 0.1418 1
Sm4 0.4227 0.0000 0.3313 1
```


Arrangement two

The following is a PBE calculation of a relaxed structure of LaTb3Sm7, from Alexandria.

Properties
Magnetic moment in μB/cell: 0.4
DOS(E_F) in states/eV/f.u.: 16.9

CIF file:
```
data_LaTb3Sm7
_cell_length_a 5.9245
_cell_length_b 11.2985
_cell_length_c 11.3598
_cell_angle_alpha 90.00
_cell_angle_beta 90.00
_cell_angle_gamma 90.00
_symmetry_space_group_name_H-M 'I m m m'
_symmetry_Int_Tables_number 71
_symmetry_space_group_name_Hall '-I 2 2'
loop_
_atom_site_label
_atom_site_fract_x
_atom_site_fract_y
_atom_site_fract_z
_atom_site_occupancy
La1 0.0000 0.0000 0.0000 1
Tb1 0.0000 0.0000 0.5000 1
Tb2 0.0000 0.5000 0.2041 1
Sm1 0.0000 0.2041 0.3006 1
Sm2 0.0000 0.2925 0.0000 1
Sm3 0.0000 0.5000 0.5000 1
```


Which structure is the least stable? The one labeled arrangement two.


Arrangement one

The following is a PBE calculation of a relaxed structure of La3TbSm3, from Alexandria.

Properties
Magnetic moment in μB/cell: 0.0
DOS(E_F) in states/eV/f.u.: 12.0

CIF file:
```
data_La3TbSm3
_cell_length_a 9.8397
_cell_length_b 9.8397
_cell_length_c 5.9044
_cell_angle_alpha 90.00
_cell_angle_beta 90.00
_cell_angle_gamma 120.00
_symmetry_space_group_name_H-M 'P 63/m'
_symmetry_Int_Tables_number 176
_symmetry_space_group_name_Hall '-P 6c'
loop_
_atom_site_label
_atom_site_fract_x
_atom_site_fract_y
_atom_site_fract_z
_atom_site_occupancy
La1 0.0484 0.8053 0.2500 1
Tb1 0.3333 0.6667 0.2500 1
Sm1 0.0953 0.6146 0.7500 1
```


Arrangement two

The following is a PBE calculation of a relaxed structure of La3TbSm3, from Alexandria.

Properties
Magnetic moment in μB/cell: 0.0
DOS(E_F) in states/eV/f.u.: 11.2

CIF file:
```
data_La3TbSm3
_cell_length_a 8.9052
_cell_length_b 8.9052
_cell_length_c 21.7895
_cell_angle_alpha 90.00
_cell_angle_beta 90.00
_cell_angle_gamma 120.00
_symmetry_space_group_name_H-M 'R -3'
_symmetry_Int_Tables_number 148
_symmetry_space_group_name_Hall '-R 3'
loop_
_atom_site_label
_atom_site_fract_x
_atom_site_fract_y
_atom_site_fract_z
_atom_site_occupancy
La1 0.0032 0.7558 0.0568 1
Tb1 0.0000 0.0000 0.3528 1
Sm1 0.0571 0.6073 0.8808 1
```


Which structure is the least stable? The one labeled arrangement two.


Arrangement one

The following is a PBE calculation of a relaxed structure of La2Tb9Sm, from Alexandria.

Properties
Magnetic moment in μB/cell: 0.0
DOS(E_F) in states/eV/f.u.: 19.0

CIF file:
```
data_La2Tb9Sm
_cell_length_a 5.0903
_cell_length_b 5.0903
_cell_length_c 15.2755
_cell_angle_alpha 90.00
_cell_angle_beta 90.00
_cell_angle_gamma 90.00
_symmetry_space_group_name_H-M 'P 4/m m m'
_symmetry_Int_Tables_number 123
_symmetry_space_group_name_Hall '-P 4 2'
loop_
_atom_site_label
_atom_site_fract_x
_atom_site_fract_y
_atom_site_fract_z
_atom_site_occupancy
La1 0.0000 0.0000 0.1664 1
Tb1 0.0000 0.5000 0.0000 1
Tb2 0.0000 0.5000 0.3356 1
Tb3 0.5000 0.5000 0.1681 1
Tb4 0.5000 0.5000 0.5000 1
Sm1 0.0000 0.0000 0.5000 1
```


Arrangement two

The following is a PBE calculation of a relaxed structure of La2Tb9Sm, from Alexandria.

Properties
Magnetic moment in μB/cell: 0.0
DOS(E_F) in states/eV/f.u.: 18.0

CIF file:
```
data_La2Tb9Sm
_cell_length_a 11.4176
_cell_length_b 11.4176
_cell_length_c 3.5028
_cell_angle_alpha 90.00
_cell_angle_beta 90.00
_cell_angle_gamma 120.00
_symmetry_space_group_name_H-M 'P 6/m m m'
_symmetry_Int_Tables_number 191
_symmetry_space_group_name_Hall '-P 6 2'
loop_
_atom_site_label
_atom_site_fract_x
_atom_site_fract_y
_atom_site_fract_z
_atom_site_occupancy
La1 0.3333 0.6667 0.0000 1
Tb1 0.0000 0.5000 0.0000 1
Tb2 0.1720 0.3441 0.5000 1
Sm1 0.0000 0.0000 0.0000 1
```


Which structure is the least stable? The one labeled arrangement two.


Arrangement one

The following is a PBE calculation of a relaxed structure of LaTb2Sm6, from Alexandria.

Properties
Magnetic moment in μB/cell: 0.0
DOS(E_F) in states/eV/f.u.: 18.9

CIF file:
```
data_LaTb2Sm6
_cell_length_a 11.8064
_cell_length_b 3.4715
_cell_length_c 15.5140
_cell_angle_alpha 90.00
_cell_angle_beta 101.90
_cell_angle_gamma 90.00
_symmetry_space_group_name_H-M 'C 1 2/m 1'
_symmetry_Int_Tables_number 12
_symmetry_space_group_name_Hall '-C 2y'
loop_
_atom_site_label
_atom_site_fract_x
_atom_site_fract_y
_atom_site_fract_z
_atom_site_occupancy
La1 0.0000 0.0000 0.0000 1
Tb1 0.1683 0.5000 0.6657 1
Sm1 0.0392 0.0000 0.2326 1
Sm2 0.1263 0.5000 0.4374 1
Sm3 0.2070 0.5000 0.8941 1
```


Arrangement two

The following is a PBE calculation of a relaxed structure of LaTb2Sm6, from Alexandria.

Properties
Magnetic moment in μB/cell: 0.6
DOS(E_F) in states/eV/f.u.: 14.9

CIF file:
```
data_LaTb2Sm6
_cell_length_a 7.5364
_cell_length_b 7.5364
_cell_length_c 6.1867
_cell_angle_alpha 90.00
_cell_angle_beta 90.00
_cell_angle_gamma 120.00
_symmetry_space_group_name_H-M 'P -3 m 1'
_symmetry_Int_Tables_number 164
_symmetry_space_group_name_Hall '-P 3 2"'
loop_
_atom_site_label
_atom_site_fract_x
_atom_site_fract_y
_atom_site_fract_z
_atom_site_occupancy
La1 0.0000 0.0000 0.0000 1
Tb1 0.3333 0.6667 0.7824 1
Sm1 0.1863 0.3726 0.2923 1
```


Which structure is the least stable? The one labeled arrangement two.